# 1
VASP calculation (GGA-PBEsol) on BeNi2Os after structural relaxation.

a = 2.648 Å, b = 2.648 Å, c = 6.025 Å
α = 90.00°, β = 90.00°, γ = 90.00°
Atoms (fractional coordinates):
Os1 0.000 0.000 0.518
Be1 0.500 0.500 0.775
Ni1 0.500 0.500 0.239
Ni2 0.000 0.000 0.968

Summary:
Theoretical density (kg/m3): 12448
Space-group type: P4mm (99)

# 2
VASP calculation (GGA-PBEsol) on Na2NbPdS after structural relaxation.

a = 4.700 Å, b = 5.686 Å, c = 5.686 Å
α = 90.00°, β = 90.00°, γ = 90.00°
Each line ends with the local moment (μB).
Atoms (fractional coordinates):
Na1 0.000 0.500 0.000  0.04
Na2 0.000 0.000 0.500  0.04
Pd1 0.500 0.000 0.000  -0.01
S1 0.500 0.500 0.500  0.02
Nb1 0.000 0.000 0.000  2.43

Summary:
Theoretical density (kg/m3): 3031
Space-group type: P4/mmm (123)
E_form (uncorrected) (eV per atom): 1.2903

# 3
VASP calculation (GGA-PBEsol) on HoSnPt after structural relaxation.

a = 3.950 Å, b = 7.391 Å, c = 7.391 Å
α = 120.00°, β = 90.00°, γ = 90.00°
Atoms (fractional coordinates):
Ho1 0.500 0.406 0.406
Ho2 0.500 0.594 0.000
Ho3 0.500 0.000 0.594
Pt1 0.500 0.000 0.000
Pt2 0.000 0.667 0.333
Pt3 0.000 0.333 0.667
Sn1 0.000 0.740 0.740
Sn2 0.000 0.000 0.260
Sn3 0.000 0.260 0.000

Summary:
Theoretical density (kg/m3): 12761
Space-group type: P-62m (189)

Size of the total moment readings, ordered: 0.00, 3.29, 0.00 μB/cell
Energy readings, ordered: -7.19, -3.50, -6.52 eV per atom